Record 1
DFT (PBE) results for crystalline ScTc at its relaxed geometry.

Values from the calculation:
- Space-group type: Imm2
- Energy of formation from the pure elements: -0.1812 eV per atom

Unit cell a=10.3179 b=10.3179 c=9.1807 alpha=116.42 beta=116.42 gamma=29.82
Atoms (fractional coordinates):
Sc 0.8398 0.8398 0.5065
Tc 0.5000 0.5000 0.3283
Tc 0.7501 0.7501 0.9218
Sc 0.6250 0.6250 0.6250
Sc 0.1602 0.1602 0.8269
Tc 0.7573 0.2427 0.5855
Tc 0.2499 0.2499 0.4216
Sc 0.3750 0.3750 0.3750
Sc 0.6599 0.6599 0.3266
Tc 0.4927 0.0073 0.6645
Sc 0.1250 0.1250 0.1250
Tc 0.2572 0.7428 0.0855
Tc 0.0073 0.4927 0.6645
Sc 0.8750 0.8750 0.8750
Sc 0.0899 0.0899 0.4232
Tc 0.5073 0.9927 0.1645
Tc 0.9927 0.5073 0.1645
Tc 0.2427 0.7573 0.5855
Tc 0.0000 0.0000 0.8284
Sc 0.9101 0.9101 0.2434
Sc 0.5899 0.5899 0.9232
Sc 0.4101 0.4101 0.7433
Tc 0.7428 0.2572 0.0855
Sc 0.3401 0.3401 0.0068



Record 2
DFT (PBE) results for crystalline Sc6TcTe2 at its relaxed geometry.

Values from the calculation:
- Space-group type: P-62m

Unit cell a=7.7081 b=7.7081 c=3.8810 alpha=90.00 beta=90.00 gamma=120.00
Atoms (fractional coordinates):
Te 0.3333 0.6667 0.0000
Sc 0.0000 0.7627 0.0000
Sc 0.0000 0.3866 0.5000
Sc 0.3866 0.0000 0.5000
Sc 0.2373 0.2373 0.0000
Tc 0.0000 0.0000 0.5000
Sc 0.6134 0.6134 0.5000
Te 0.6667 0.3333 0.0000
Sc 0.7627 0.0000 0.0000



Record 3
DFT (PBE) results for crystalline ScTcTe at its relaxed geometry.

Values from the calculation:
- Energy above the lowest structure with this stoichiometry: 0.386 eV per atom
- Space-group type: F-43m

Unit cell a=4.5413 b=4.5413 c=4.5413 alpha=60.00 beta=60.00 gamma=60.00
Atoms (fractional coordinates):
Te 0.7500 0.7500 0.7500
Sc 0.0000 0.0000 0.0000
Tc 0.2500 0.2500 0.2500



Record 4
DFT (PBE) results for crystalline ScTcTe at its relaxed geometry.

Values from the calculation:
- Energy above the lowest structure with this stoichiometry: 0.000 eV per atom
- Space-group type: I4/mmm

Unit cell a=12.0697 b=12.0697 c=12.0697 alpha=163.74 beta=163.74 gamma=23.08
Atoms (fractional coordinates):
Tc 0.0468 0.0468 0.0000
Sc 0.6099 0.6099 0.0000
Sc 0.3901 0.3901 0.0000
Te 0.1830 0.1830 0.0000
Te 0.8170 0.8170 0.0000
Tc 0.9532 0.9532 0.0000



Record 5
DFT (PBE) results for crystalline ScTc2Te at its relaxed geometry.

Values from the calculation:
- Space-group type: F-43m

Unit cell a=4.6235 b=4.6235 c=4.6235 alpha=60.00 beta=60.00 gamma=60.00
Site moments in Bohr magnetons follow the coordinates.
Atoms (fractional coordinates):
Sc 0.2500 0.2500 0.2500  0.00
Tc 0.0000 0.0000 0.0000  0.94
Te 0.5000 0.5000 0.5000  0.03
Tc 0.7500 0.7500 0.7500  0.16



Record 6
DFT (PBE) results for crystalline ThScTc at its relaxed geometry.

Values from the calculation:
- Energy above the lowest structure with this stoichiometry: 0.239 eV per atom
- Space-group type: F-43m
- Energy of formation from the pure elements: 0.8521 eV per atom

Unit cell a=4.7193 b=4.7193 c=4.7193 alpha=60.00 beta=60.00 gamma=60.00
Atoms (fractional coordinates):
Tc 0.0000 0.0000 0.0000
Th 0.2500 0.2500 0.2500
Sc 0.5000 0.5000 0.5000



Record 7
DFT (PBE) results for crystalline Sc6Tl2Tc at its relaxed geometry.

Values from the calculation:
- Space-group type: P-62m

Unit cell a=3.6571 b=8.0280 c=8.0280 alpha=120.00 beta=90.00 gamma=90.00
Site moments in Bohr magnetons follow the coordinates.
Atoms (fractional coordinates):
Tc 0.5000 0.0002 0.0002  -0.04
Sc 0.0000 0.9999 0.7568  0.07
Sc 0.0000 0.2434 0.2434  0.08
Sc 0.5000 0.6187 0.6187  0.10
Sc 0.5000 0.3809 0.0000  0.11
Sc 0.5000 0.0000 0.3809  0.09
Tl 0.0000 0.3332 0.6668  0.01
Sc 0.0000 0.7568 0.9999  0.09
Tl 0.0000 0.6668 0.3332  0.01



Record 8
DFT (PBE) results for crystalline ScTlTc2 at its relaxed geometry.

Values from the calculation:
- Space-group type: F-43m

Unit cell a=4.6249 b=4.6249 c=4.6249 alpha=60.00 beta=60.00 gamma=60.00
Atoms (fractional coordinates):
Sc 0.2500 0.2500 0.2500
Tl 0.5000 0.5000 0.5000
Tc 0.0000 0.0000 0.0000
Tc 0.7500 0.7500 0.7500



Number 1: magnetization 0.056 Bohr magnetons per cell, calculated total energy -204.6 eV for the cell shown. Number 2: magnetization 0.072 Bohr magnetons per cell, calculated total energy -60.6 eV for the cell shown. Number 3: magnetization 0.012 Bohr magnetons per cell, calculated total energy -19.0 eV for the cell shown. Number 4: magnetization 0.008 Bohr magnetons per cell, calculated total energy -40.2 eV for the cell shown. Number 5: magnetization 1.298 Bohr magnetons per cell, calculated total energy -29.3 eV for the cell shown. Number 6: magnetization 0.002 Bohr magnetons per cell, calculated total energy -21.5 eV for the cell shown. Number 7: magnetization 0.996 Bohr magnetons per cell, calculated total energy -55.4 eV for the cell shown. Number 8: magnetization 0.027 Bohr magnetons per cell, calculated total energy -28.4 eV for the cell shown.